A plane-wave DFT calculation with PBE was carried out for crystalline AlTcSe2N at its relaxed geometry.

abc: 5.0285 5.0285 3.4845
angles: 90.00 90.00 90.00
Fractional positions:
Al: 0.0000 0.0000 0.0000
Tc: 0.5000 0.5000 0.5000
Se: 0.0000 0.5000 0.0000
Se: 0.5000 0.0000 0.0000
N: 0.0000 0.0000 0.5000

Results
SG: P4/mmm (123)
ΔE to the lowest computed polymorph: 0.410 eV/atom
E_tot: -5.23 eV/atom
Raw formation energy: 0.65 eV per atom



A plane-wave DFT calculation with PBE was carried out for crystalline AlTcSe2N at its relaxed geometry.

abc: 5.0931 5.0931 3.6935
angles: 90.00 90.00 90.00
Fractional positions:
Al: 0.0000 0.0000 0.0000
Tc: 0.5000 0.5000 0.5000
Se: 0.0000 0.5000 0.5000
Se: 0.5000 0.0000 0.5000
N: 0.5000 0.5000 0.0000

Results
SG: P4/mmm (123)
ΔE to the lowest computed polymorph: 0.000 eV/atom
E_tot: -5.64 eV/atom
Raw formation energy: 0.24 eV per atom



A plane-wave DFT calculation with PBE was carried out for crystalline AlTcSeN2 at its relaxed geometry.

abc: 3.8363 3.8363 5.3870
angles: 90.00 90.00 90.00
Fractional positions:
Al: 0.0000 0.0000 0.0000
Tc: 0.5000 0.5000 0.5000
Se: 0.5000 0.5000 0.0000
N: 0.0000 0.5000 0.5000
N: 0.5000 0.0000 0.5000

Results
SG: P4/mmm (123)
ΔE to the lowest computed polymorph: 0.000 eV/atom
E_tot: -6.41 eV/atom
Raw formation energy: 0.44 eV per atom



A plane-wave DFT calculation with PBE was carried out for crystalline AlTeSeN2 at its relaxed geometry.

abc: 3.9585 3.9585 5.1176
angles: 90.00 90.00 90.00
Fractional positions:
Al: 0.0000 0.0000 0.0000
Te: 0.5000 0.5000 0.5000
Se: 0.0000 0.0000 0.5000
N: 0.0000 0.5000 0.0000
N: 0.5000 0.0000 0.0000

Results
SG: P4/mmm (123)
ΔE to the lowest computed polymorph: 0.000 eV/atom
E_tot: -4.57 eV/atom
Raw formation energy: 0.84 eV per atom



A plane-wave DFT calculation with PBE was carried out for crystalline AlTeSe2N at its relaxed geometry.

abc: 5.1823 5.1823 3.6035
angles: 90.00 90.00 90.00
Fractional positions:
Al: 0.0000 0.0000 0.0000
Te: 0.5000 0.5000 0.5000
Se: 0.0000 0.5000 0.0000
Se: 0.5000 0.0000 0.0000
N: 0.0000 0.0000 0.5000

Results
SG: P4/mmm (123)
ΔE to the lowest computed polymorph: 0.000 eV/atom
E_tot: -4.17 eV/atom
Raw formation energy: 0.26 eV per atom



A plane-wave DFT calculation with PBE was carried out for crystalline AlTeSeN2 at its relaxed geometry.

abc: 3.7894 3.7894 6.9924
angles: 90.00 90.00 90.00
Fractional positions:
Al: 0.0000 0.0000 0.0000
Te: 0.0000 0.0000 0.5000
Se: 0.5000 0.5000 0.5000
N: 0.0000 0.5000 0.0000
N: 0.5000 0.0000 0.0000

Results
SG: P4/mmm (123)
ΔE to the lowest computed polymorph: 0.007 eV/atom
E_tot: -4.56 eV/atom
Raw formation energy: 0.85 eV per atom



A plane-wave DFT calculation with PBE was carried out for crystalline AlTeSe2N at its relaxed geometry.

abc: 5.4149 5.4149 3.9540
angles: 90.00 90.00 90.00
Fractional positions:
Al: 0.0000 0.0000 0.0000
Te: 0.5000 0.5000 0.5000
Se: 0.0000 0.5000 0.5000
Se: 0.5000 0.0000 0.5000
N: 0.5000 0.5000 0.0000

Results
SG: P4/mmm (123)
ΔE to the lowest computed polymorph: 0.612 eV/atom
E_tot: -3.56 eV/atom
Raw formation energy: 0.88 eV per atom



A plane-wave DFT calculation with PBE was carried out for crystalline AlTe2SeN at its relaxed geometry.

abc: 5.7725 5.7725 3.6617
angles: 90.00 90.00 90.00
Fractional positions:
Al: 0.0000 0.0000 0.0000
Te: 0.0000 0.5000 0.5000
Te: 0.5000 0.0000 0.5000
Se: 0.5000 0.5000 0.5000
N: 0.5000 0.5000 0.0000

Results
SG: P4/mmm (123)
ΔE to the lowest computed polymorph: 0.527 eV/atom
E_tot: -3.46 eV/atom
Raw formation energy: 0.91 eV per atom



Q: Which formula does entry 7 have?
A: AlTeSe2N